This record from the Alexandria database describes a PBEsol-optimized structure of MgSeBr2F. The functional is meta-GGA SCAN.

Cell: 5.0347 5.0347 5.3112 Å, 90.00 90.00 90.00°
Last column: nearest neighbours and their distance in Å.
Space group P4/mmm (No. 123)
Inequivalent atoms, fractional coordinates:
Mg  0.0000  0.0000  0.0000  4 Br 2.52, 2 Se 2.66
Se  0.0000  0.0000  0.5000  2 Mg 2.66
Br  0.0000  0.5000  0.0000  2 Mg 2.52
F  0.5000  0.5000  0.5000  4 Se 3.56, 8 Br 3.66

crystal system = tetragonal
V = 26.9 A^3/atom
formation energy from raw total energies = -0.39 eV/atom
VASP energy = -69.483 eV/f.u.

=====

This record from the Alexandria database describes a PBEsol-optimized structure of TmMn6Al6. The functional is meta-GGA SCAN.

Cell: 4.8640 8.4070 8.5227 Å, 90.00 90.00 90.00°
Last column: nearest neighbours and their distance in Å.
Space group Immm (No. 71)
Inequivalent atoms, fractional coordinates:
Tm  0.0000  0.0000  0.0000  8 Al 2.90-2.92, 12 Mn 3.18-3.23
Mn  0.0000  0.5000  0.2604  4 Mn 2.43, 6 Al 2.57-2.61
Mn  0.2500  0.2500  0.2500  4 Mn 2.43, 6 Al 2.50-2.58
Al  0.0000  0.0000  0.3406  6 Mn 2.55-2.58, 1 Al 2.72
Al  0.0000  0.3069  0.5000  6 Mn 2.50-2.61, 2 Al 2.75
Al  0.0000  0.3466  0.0000  6 Mn 2.57-2.58, 3 Al 2.58-2.75

crystal system = orthorhombic
V = 13.4 A^3/atom
energy relative to the elements = -237.5 meV per atom
VASP energy = -210.962 eV/f.u.